Entry 1:
# Cd3Ag GGA-PBEsol relaxed
# SG = R-3m
# final energy = -1.718 eV per atom
# magnetization = 0.00 μB/cell
# DFT formation energy = 8 meV/atom
data_Cd3Ag
_chemical_formula_sum 'Cd9 Ag3'
_symmetry_space_group_name_H-M 'P 1'
_symmetry_Int_Tables_number 1
_cell_length_a 9.4676
_cell_length_b 9.4676
_cell_length_c 2.9595
_cell_angle_alpha 90.00
_cell_angle_beta 90.00
_cell_angle_gamma 120.00
loop_
_symmetry_equiv_pos_as_xyz
'x,y,z'
loop_
_atom_site_label
_atom_site_type_symbol
_atom_site_fract_x
_atom_site_fract_y
_atom_site_fract_z
Cd1 Cd 0.0000 0.5000 0.0000
Cd2 Cd 0.1667 0.3333 0.3333
Cd3 Cd 0.1667 0.8333 0.3333
Cd4 Cd 0.3333 0.1667 0.6667
Cd5 Cd 0.5000 0.0000 0.0000
Cd6 Cd 0.5000 0.5000 0.0000
Cd7 Cd 0.6667 0.8333 0.3333
Cd8 Cd 0.8333 0.1667 0.6667
Cd9 Cd 0.8333 0.6667 0.6667
Ag1 Ag 0.0000 0.0000 0.0000
Ag2 Ag 0.3333 0.6667 0.6667
Ag3 Ag 0.6667 0.3333 0.3333

=====

Entry 2:
# FeCu2Si GGA-PBEsol relaxed
# SG = F-43m
# final energy = -5.926 eV per atom
# magnetization = 0.01 μB/cell
data_FeCu2Si
_chemical_formula_sum 'Fe4 Cu8 Si4'
_symmetry_space_group_name_H-M 'P 1'
_symmetry_Int_Tables_number 1
_cell_length_a 5.5925
_cell_length_b 5.5925
_cell_length_c 5.5925
_cell_angle_alpha 90.00
_cell_angle_beta 90.00
_cell_angle_gamma 90.00
loop_
_symmetry_equiv_pos_as_xyz
'x,y,z'
loop_
_atom_site_label
_atom_site_type_symbol
_atom_site_fract_x
_atom_site_fract_y
_atom_site_fract_z
Fe1 Fe 0.0000 0.0000 0.0000
Fe2 Fe 0.0000 0.5000 0.5000
Fe3 Fe 0.5000 0.0000 0.5000
Fe4 Fe 0.5000 0.5000 0.0000
Cu1 Cu 0.0000 0.0000 0.5000
Cu2 Cu 0.0000 0.5000 0.0000
Cu3 Cu 0.2500 0.2500 0.2500
Cu4 Cu 0.2500 0.7500 0.7500
Cu5 Cu 0.5000 0.0000 0.0000
Cu6 Cu 0.5000 0.5000 0.5000
Cu7 Cu 0.7500 0.2500 0.7500
Cu8 Cu 0.7500 0.7500 0.2500
Si1 Si 0.2500 0.2500 0.7500
Si2 Si 0.2500 0.7500 0.2500
Si3 Si 0.7500 0.2500 0.2500
Si4 Si 0.7500 0.7500 0.7500

=====

Question: Which of these has the highest magnetization?
Answer: FeCu2Si